Record 1
# Er4I | Alexandria | PBE | optimized geometry
# N(E_F) = 8.927 states/eV per cell
# Formation energy from raw total energies = 0.24 eV/atom
# Total energy = -3.7190 eV per atom
data_Er4I
_chemical_formula_sum 'Er4 I1'
_symmetry_space_group_name_H-M 'P 1'
_symmetry_Int_Tables_number 1
_symmetry_space_group_name_Hall 'P 1'
_cell_length_a 5.5933
_cell_length_b 5.5933
_cell_length_c 5.5933
_cell_angle_alpha 90.00
_cell_angle_beta 90.00
_cell_angle_gamma 90.00
loop_
_atom_site_label
_atom_site_fract_x
_atom_site_fract_y
_atom_site_fract_z
_atom_site_occupancy
Er1 0.0000 0.0000 0.0000 1
Er2 0.0000 0.5000 0.5000 1
Er3 0.5000 0.0000 0.5000 1
Er4 0.5000 0.5000 0.0000 1
I1 0.5000 0.5000 0.5000 1

---

Record 2
# Er6I7 | Alexandria | PBE | optimized geometry
# N(E_F) = 9.410 states/eV per cell
# Formation energy from raw total energies = -0.94 eV/atom
# Total energy = -3.8840 eV per atom
data_Er6I7
_chemical_formula_sum 'Er6 I7'
_symmetry_space_group_name_H-M 'P 1'
_symmetry_Int_Tables_number 1
_symmetry_space_group_name_Hall 'P 1'
_cell_length_a 11.9332
_cell_length_b 11.9332
_cell_length_c 12.6936
_cell_angle_alpha 118.10
_cell_angle_beta 118.10
_cell_angle_gamma 19.24
loop_
_atom_site_label
_atom_site_fract_x
_atom_site_fract_y
_atom_site_fract_z
_atom_site_occupancy
Er1 0.1072 0.1072 0.1898 1
Er2 0.2537 0.2537 0.7342 1
Er3 0.3164 0.3164 0.5417 1
Er4 0.6836 0.6836 0.4583 1
Er5 0.7463 0.7463 0.2658 1
Er6 0.8928 0.8928 0.8102 1
I1 0.0565 0.0565 0.3595 1
I2 0.1783 0.1783 0.0451 1
I3 0.3575 0.3575 0.3298 1
I4 0.5000 0.5000 0.0000 1
I5 0.6425 0.6425 0.6702 1
I6 0.8217 0.8217 0.9549 1
I7 0.9435 0.9435 0.6405 1

---

Record 3
# Er2InI2 | Alexandria | PBE | optimized geometry
# N(E_F) = 5.202 states/eV per cell
# Formation energy from raw total energies = -0.88 eV/atom
# Total energy = -3.8751 eV per atom
data_Er2InI2
_chemical_formula_sum 'Er6 In3 I6'
_symmetry_space_group_name_H-M 'P 1'
_symmetry_Int_Tables_number 1
_symmetry_space_group_name_Hall 'P 1'
_cell_length_a 4.0939
_cell_length_b 4.0939
_cell_length_c 36.4214
_cell_angle_alpha 90.00
_cell_angle_beta 90.00
_cell_angle_gamma 120.00
loop_
_atom_site_label
_atom_site_fract_x
_atom_site_fract_y
_atom_site_fract_z
_atom_site_occupancy
Er1 0.0000 0.0000 0.1123 1
Er2 0.0000 0.0000 0.8877 1
Er3 0.3333 0.6667 0.5543 1
Er4 0.3333 0.6667 0.7790 1
Er5 0.6667 0.3333 0.2210 1
Er6 0.6667 0.3333 0.4457 1
In1 0.0000 0.0000 0.5000 1
In2 0.3333 0.6667 0.1667 1
In3 0.6667 0.3333 0.8333 1
I1 0.0000 0.0000 0.2757 1
I2 0.0000 0.0000 0.7243 1
I3 0.3333 0.6667 0.3909 1
I4 0.3333 0.6667 0.9424 1
I5 0.6667 0.3333 0.0576 1
I6 0.6667 0.3333 0.6091 1

---

Record 4
# ErIn5I8 | Alexandria | PBE | optimized geometry
# N(E_F) = 0.000 states/eV per cell
# Formation energy from raw total energies = -0.71 eV/atom
# Total energy = -2.8964 eV per atom
data_ErIn5I8
_chemical_formula_sum 'Er1 In5 I8'
_symmetry_space_group_name_H-M 'P 1'
_symmetry_Int_Tables_number 1
_symmetry_space_group_name_Hall 'P 1'
_cell_length_a 9.2728
_cell_length_b 9.2728
_cell_length_c 11.1195
_cell_angle_alpha 123.31
_cell_angle_beta 123.31
_cell_angle_gamma 69.45
loop_
_atom_site_label
_atom_site_fract_x
_atom_site_fract_y
_atom_site_fract_z
_atom_site_occupancy
Er1 0.0000 0.0000 0.0000 1
In1 0.2770 0.2895 0.9923 1
In2 0.2798 0.7202 0.5000 1
In3 0.4988 0.0284 0.4994 1
In4 0.7105 0.7230 0.0077 1
In5 0.9716 0.5012 0.5006 1
I1 0.0022 0.6148 0.8613 1
I2 0.0417 0.0444 0.3076 1
I3 0.3852 0.9978 0.1387 1
I4 0.4296 0.4663 0.6613 1
I5 0.5337 0.5704 0.3387 1
I6 0.6078 0.0159 0.8617 1
I7 0.9556 0.9583 0.6924 1
I8 0.9841 0.3922 0.1383 1